A relaxed AcPu2Au3 crystal, computed with PBE.

Cell lengths 3.747, 3.747, 11.073 Å; angles 90.00, 90.00, 90.00 degrees
Positions (direct):
Ac: 0.000 0.000 0.000
Pu: 0.000 0.000 0.343
Pu: 0.000 0.000 0.657
Au: 0.500 0.500 0.184
Au: 0.500 0.500 0.500
Au: 0.500 0.500 0.816

Values from the calculation:
The calculated formation energy is -496 meV/atom. Its space group is P4/mmm, No. 123. Its energy is -7.597 eV/atom.

---

A relaxed Mn3HS crystal, computed with PBE.

Cell lengths 3.708, 3.708, 3.708 Å; angles 90.00, 90.00, 90.00 degrees
Positions (direct):
Mn: 0.000 0.000 0.500
Mn: 0.000 0.500 0.000
Mn: 0.500 0.000 0.000
H: 0.000 0.000 0.000
S: 0.500 0.500 0.500

Values from the calculation:
Its space group is Pm-3m, No. 221. Its energy is -6.809 eV/atom.

---

A relaxed PmPr2Cu2Si2 crystal, computed with PBE.

Cell lengths 11.567, 11.567, 11.567 Å; angles 20.57, 20.57, 20.57 degrees
Positions (direct):
Pm: 0.000 0.000 0.000
Pr: 0.119 0.119 0.119
Pr: 0.881 0.881 0.881
Cu: 0.393 0.393 0.393
Cu: 0.607 0.607 0.607
Si: 0.274 0.274 0.274
Si: 0.726 0.726 0.726

Values from the calculation:
Its space group is R-3m, No. 166. The formation energy without anion corrections comes out at -0.472 eV/atom. Its energy is -5.236 eV/atom.

---

Number 1: DOS(E_F) 21.55 states/eV/f.u.. Number 2: DOS(E_F) 6.28 states/eV/f.u.. Number 3: DOS(E_F) 8.09 states/eV/f.u..